This record from Alexandria via LeMat-Bulk describes a relaxed structure of LiMn2F6. The functional is PBE+U.

Output
Energy relative to the lowest polymorph listed for this composition = 51 meV per atom
Space-group type = C2
Crystal system = monoclinic
Size of the total moment = 1.000 μB/atom

a = 5.2954 Å, b = 5.2954 Å, c = 4.5540 Å
α = 88.58°, β = 88.58°, γ = 115.69°
Closest atoms and distances in Å follow each position.
Fractional coordinates of all 9 atoms:
F 0.3317 0.0061 0.7499  1 Li 1.98, 2 Mn 2.07-2.14
F 0.3788 0.3545 0.2747  1 Mn 1.91
Li 0.0122 0.9878 0.0000  2 F 1.98
F 0.9653 0.3255 0.7245  1 Mn 1.91
F 0.6455 0.6212 0.7253  1 Mn 1.91
Mn 0.6680 0.3320 0.5000  4 F 1.91
F 0.6745 0.0347 0.2755  1 Mn 1.91
Mn 0.3202 0.6798 0.5000  6 F 2.07-2.20
F 0.9939 0.6683 0.2501  1 Li 1.98, 2 Mn 2.07-2.14